Record 1
This record from the Alexandria database describes a relaxed structure of NdAl4Rh. The functional is PBE.

Properties
Crystal system: triclinic
E_form, meV per atom: -525.9
E_tot, eV/atom: -5.041

Unit cell a=4.5023 b=7.2308 c=8.0679 alpha=66.00 beta=73.84 gamma=89.95
Space group P-1 (No. 2)
Asymmetric unit:
1 Nd 0.0000 0.0000 0.0000 [1 per cell]
2 Nd 0.5000 0.5000 0.0000 [1 per cell]
3 Al 0.0686 0.4528 0.7251 [2 per cell]
4 Al 0.2453 0.8295 0.6523 [2 per cell]
5 Al 0.2943 0.0472 0.2752 [2 per cell]
6 Al 0.3974 0.6701 0.3482 [2 per cell]
7 Rh 0.1739 0.2495 0.5003 [2 per cell]



Record 2
This record from the Alexandria database describes a relaxed structure of NdAl8Rh4. The functional is PBE.

Properties
Crystal system: tetragonal
E_form, meV per atom: -797.8
E_tot, eV/atom: -5.730

Unit cell a=8.7420 b=8.7420 c=5.4777 alpha=90.00 beta=90.00 gamma=90.00
Space group I4/mmm (No. 139)
Asymmetric unit:
1 Nd 0.0000 0.0000 0.0000 [2 per cell]
2 Al 0.0000 0.2256 0.5000 [8 per cell]
3 Al 0.0000 0.3442 0.0000 [8 per cell]
4 Rh 0.2500 0.2500 0.2500 [8 per cell]



Record 3
This record from the Alexandria database describes a relaxed structure of Nd3AlRh. The functional is PBE.

Properties
Crystal system: monoclinic
E_form, meV per atom: -357.3
E_tot, eV/atom: -5.437

Unit cell a=10.5458 b=8.6897 c=8.0382 alpha=90.00 beta=130.84 gamma=90.00
Space group C2/m (No. 12)
Asymmetric unit:
1 Nd 0.0330 0.0000 0.3242 [4 per cell]
2 Nd 0.2356 0.2979 0.7634 [8 per cell]
3 Al 0.0715 0.5000 0.2983 [4 per cell]
4 Rh 0.1873 0.5000 0.0948 [4 per cell]



Record 4
This record from the Alexandria database describes a relaxed structure of Nd2Al2SiRh5. The functional is PBE.

Properties
Crystal system: tetragonal
Uncorrected formation energy, eV/atom: -0.750
E_tot, eV/atom: -6.670

Unit cell a=10.0789 b=10.0789 c=3.3577 alpha=90.00 beta=90.00 gamma=90.00
Space group P4/mbm (No. 127)
Asymmetric unit:
1 Nd 0.1742 0.3258 0.0000 [4 per cell]
2 Al 0.1260 0.6260 0.0000 [4 per cell]
3 Si 0.0000 0.0000 0.0000 [2 per cell]
4 Rh 0.0000 0.5000 0.5000 [2 per cell]
5 Rh 0.0606 0.8028 0.5000 [8 per cell]



Record 5
This record from the Alexandria database describes a relaxed structure of Nd2AlSiRh6. The functional is PBE.

Properties
Crystal system: orthorhombic
Uncorrected formation energy, eV/atom: -0.536
E_tot, eV/atom: -6.817

Unit cell a=6.3985 b=6.4110 c=9.0571 alpha=90.00 beta=90.00 gamma=90.00
Space group Immm (No. 71)
Asymmetric unit:
1 Nd 0.0000 0.0000 0.2500 [4 per cell]
2 Al 0.0000 0.5000 0.0000 [2 per cell]
3 Si 0.0000 0.5000 0.5000 [2 per cell]
4 Rh 0.0000 0.5000 0.2539 [4 per cell]
5 Rh 0.2461 0.2539 0.5000 [8 per cell]



Record 6
This record from the Alexandria database describes a relaxed structure of NdSmAlRh. The functional is PBE.

Properties
Crystal system: cubic
E_form, meV per atom: -428.3
E_tot, eV/atom: -5.574

Unit cell a=7.2515 b=7.2515 c=7.2515 alpha=90.00 beta=90.00 gamma=90.00
Space group F-43m (No. 216)
Asymmetric unit:
1 Nd 0.0000 0.0000 0.0000 [4 per cell]
2 Sm 0.0000 0.0000 0.5000 [4 per cell]
3 Al 0.2500 0.2500 0.2500 [4 per cell]
4 Rh 0.2500 0.2500 0.7500 [4 per cell]



Record 7
This record from the Alexandria database describes a relaxed structure of Nd2Al2SnRh5. The functional is PBE.

Properties
Crystal system: tetragonal
E_form, meV per atom: -803.5
E_tot, eV/atom: -6.582

Unit cell a=10.0602 b=10.0602 c=3.5605 alpha=90.00 beta=90.00 gamma=90.00
Space group P4/mbm (No. 127)
Asymmetric unit:
1 Nd 0.1770 0.3230 0.0000 [4 per cell]
2 Al 0.1199 0.6199 0.0000 [4 per cell]
3 Sn 0.0000 0.0000 0.0000 [2 per cell]
4 Rh 0.0000 0.5000 0.5000 [2 per cell]
5 Rh 0.0672 0.7890 0.5000 [8 per cell]



Record 8
This record from the Alexandria database describes a relaxed structure of Nd2Al2TlRh5. The functional is PBE.

Properties
Crystal system: tetragonal
E_form, meV per atom: -684.8
E_tot, eV/atom: -6.299

Unit cell a=10.0779 b=10.0779 c=3.6001 alpha=90.00 beta=90.00 gamma=90.00
Space group P4/mbm (No. 127)
Asymmetric unit:
1 Nd 0.1781 0.3219 0.0000 [4 per cell]
2 Al 0.1191 0.6191 0.0000 [4 per cell]
3 Tl 0.0000 0.0000 0.0000 [2 per cell]
4 Rh 0.0000 0.5000 0.5000 [2 per cell]
5 Rh 0.0681 0.7847 0.5000 [8 per cell]



Record 9
This record from the Alexandria database describes a relaxed structure of NdTmAlRh. The functional is PBE.

Properties
Crystal system: cubic
E_form, meV per atom: -490.4
E_tot, eV/atom: -5.574

Unit cell a=7.1328 b=7.1328 c=7.1328 alpha=90.00 beta=90.00 gamma=90.00
Space group F-43m (No. 216)
Asymmetric unit:
1 Nd 0.0000 0.0000 0.0000 [4 per cell]
2 Tm 0.0000 0.0000 0.5000 [4 per cell]
3 Al 0.2500 0.2500 0.7500 [4 per cell]
4 Rh 0.2500 0.2500 0.2500 [4 per cell]



Record 10
This record from the Alexandria database describes a relaxed structure of Nd2UAlRh6. The functional is PBE.

Properties
Crystal system: triclinic
E_form, meV per atom: -598.7
E_tot, eV/atom: -7.466

Unit cell a=5.5672 b=6.3105 c=6.6698 alpha=108.64 beta=103.08 gamma=108.01
Space group P-1 (No. 2)
Asymmetric unit:
1 Nd 0.0300 0.1716 0.3066 [2 per cell]
2 U 0.5000 0.5000 0.0000 [1 per cell]
3 Al 0.5000 0.0000 0.5000 [1 per cell]
4 Rh 0.0037 0.3655 0.7692 [2 per cell]
5 Rh 0.3729 0.8467 0.0813 [2 per cell]
6 Rh 0.4130 0.6634 0.6490 [2 per cell]



Record 11
This record from the Alexandria database describes a relaxed structure of NdYAlRh. The functional is PBE.

Properties
Crystal system: cubic
E_form, meV per atom: -474.2
E_tot, eV/atom: -6.056

Unit cell a=7.1887 b=7.1887 c=7.1887 alpha=90.00 beta=90.00 gamma=90.00
Space group F-43m (No. 216)
Asymmetric unit:
1 Nd 0.0000 0.0000 0.0000 [4 per cell]
2 Y 0.0000 0.0000 0.5000 [4 per cell]
3 Al 0.2500 0.2500 0.2500 [4 per cell]
4 Rh 0.2500 0.2500 0.7500 [4 per cell]



Record 12
This record from the Alexandria database describes a relaxed structure of Nd2AlZn2Rh5. The functional is PBE.

Properties
Crystal system: tetragonal
E_form, meV per atom: -601.0
E_tot, eV/atom: -5.859

Unit cell a=9.9026 b=9.9026 c=3.5166 alpha=90.00 beta=90.00 gamma=90.00
Space group P4/mbm (No. 127)
Asymmetric unit:
1 Nd 0.1735 0.3265 0.0000 [4 per cell]
2 Al 0.0000 0.0000 0.0000 [2 per cell]
3 Zn 0.1265 0.6265 0.0000 [4 per cell]
4 Rh 0.0000 0.5000 0.5000 [2 per cell]
5 Rh 0.0603 0.8022 0.5000 [8 per cell]



Q: Which formula does entry 3 have?
A: Nd3AlRh



Copy entry 12 word for word.
This record from the Alexandria database describes a relaxed structure of Nd2AlZn2Rh5. The functional is PBE.

Properties
Crystal system: tetragonal
E_form, meV per atom: -601.0
E_tot, eV/atom: -5.859

Unit cell a=9.9026 b=9.9026 c=3.5166 alpha=90.00 beta=90.00 gamma=90.00
Space group P4/mbm (No. 127)
Asymmetric unit:
1 Nd 0.1735 0.3265 0.0000 [4 per cell]
2 Al 0.0000 0.0000 0.0000 [2 per cell]
3 Zn 0.1265 0.6265 0.0000 [4 per cell]
4 Rh 0.0000 0.5000 0.5000 [2 per cell]
5 Rh 0.0603 0.8022 0.5000 [8 per cell]